## SrGa6Ir3 (PBE)

Data for crystalline SrGa6Ir3 at its relaxed geometry.

abc: 9.480 4.222 9.739
angles: 90.00 96.21 90.00
Sites, in units of the cell vectors:
1 Sr 0.084 0.250 0.211
2 Sr 0.916 0.750 0.789
3 Ga 0.110 0.750 0.480
4 Ga 0.183 0.250 0.903
5 Ga 0.274 0.750 0.741
6 Ga 0.345 0.750 0.272
7 Ga 0.380 0.250 0.561
8 Ga 0.454 0.250 0.076
9 Ga 0.546 0.750 0.924
10 Ga 0.620 0.750 0.439
11 Ga 0.655 0.250 0.728
12 Ga 0.726 0.250 0.259
13 Ga 0.817 0.750 0.097
14 Ga 0.890 0.250 0.520
15 Ir 0.140 0.250 0.640
16 Ir 0.294 0.750 0.007
17 Ir 0.481 0.250 0.337
18 Ir 0.519 0.750 0.663
19 Ir 0.706 0.250 0.993
20 Ir 0.860 0.750 0.360

Summary:
Crystal system: monoclinic
Raw total energy in eV per atom: -5.08
Fermi-level density of states in states/eV/f.u.: 4.10
Space group: P2_1/m, No. 11

---

## SrGa2Ir (PBE)

Data for crystalline SrGa2Ir at its relaxed geometry.

abc: 4.754 4.754 4.754
angles: 60.00 60.00 60.00
Sites, in units of the cell vectors:
1 Sr 0.000 0.000 0.000
2 Ga 0.250 0.250 0.250
3 Ga 0.750 0.750 0.750
4 Ir 0.500 0.500 0.500

Summary:
Crystal system: cubic
Raw total energy in eV per atom: -4.35
Fermi-level density of states in states/eV/f.u.: 2.29
Space group: Fm-3m, No. 225

---

## Sr2Ga5Ir (PBE)

Data for crystalline Sr2Ga5Ir at its relaxed geometry.

abc: 6.736 6.736 6.736
angles: 126.25 126.25 79.48
Sites, in units of the cell vectors:
1 Sr 0.000 0.500 0.500
2 Sr 0.500 0.000 0.500
3 Ga 0.019 0.019 0.555
4 Ga 0.019 0.464 0.000
5 Ga 0.429 0.429 0.000
6 Ga 0.464 0.019 0.000
7 Ga 0.464 0.464 0.445
8 Ir 0.669 0.669 0.000

Summary:
Crystal system: tetragonal
Raw total energy in eV per atom: -3.81
Fermi-level density of states in states/eV/f.u.: 4.61
Space group: I4mm, No. 107

---

## Sr2Ga3Ir (PBE)

Data for crystalline Sr2Ga3Ir at its relaxed geometry.

abc: 9.029 8.865 6.212
angles: 71.11 68.27 40.62
Sites, in units of the cell vectors:
1 Sr 0.248 0.752 0.752
2 Sr 0.250 0.250 0.250
3 Sr 0.750 0.750 0.750
4 Sr 0.752 0.248 0.248
5 Ga 0.177 0.650 0.350
6 Ga 0.178 0.178 0.822
7 Ga 0.350 0.823 0.177
8 Ga 0.650 0.177 0.823
9 Ga 0.822 0.822 0.178
10 Ga 0.823 0.350 0.650
11 Ir 0.336 0.336 0.664
12 Ir 0.664 0.664 0.336

Summary:
Crystal system: orthorhombic
Raw total energy in eV per atom: -3.99
Fermi-level density of states in states/eV/f.u.: 4.45
Space group: Fmmm, No. 69

---

## Sr2GaIr2 (PBE)

Data for crystalline Sr2GaIr2 at its relaxed geometry.

abc: 6.816 6.816 4.909
angles: 90.00 90.00 90.00
Sites, in units of the cell vectors:
1 Sr 0.176 0.324 0.000
2 Sr 0.324 0.824 0.000
3 Sr 0.676 0.176 0.000
4 Sr 0.824 0.676 0.000
5 Ga 0.000 0.000 0.500
6 Ga 0.500 0.500 0.500
7 Ir 0.132 0.632 0.500
8 Ir 0.368 0.132 0.500
9 Ir 0.632 0.868 0.500
10 Ir 0.868 0.368 0.500

Summary:
Crystal system: tetragonal
Raw total energy in eV per atom: -5.10
Fermi-level density of states in states/eV/f.u.: 1.43
Space group: P4/mbm, No. 127

---

## Sr2Ga2Ir (PBE)

Data for crystalline Sr2Ga2Ir at its relaxed geometry.

abc: 6.920 6.920 5.037
angles: 90.00 90.00 90.00
Sites, in units of the cell vectors:
1 Sr 0.186 0.314 0.000
2 Sr 0.314 0.814 0.000
3 Sr 0.686 0.186 0.000
4 Sr 0.814 0.686 0.000
5 Ga 0.135 0.635 0.500
6 Ga 0.365 0.135 0.500
7 Ga 0.635 0.865 0.500
8 Ga 0.865 0.365 0.500
9 Ir 0.000 0.000 0.500
10 Ir 0.500 0.500 0.500

Summary:
Crystal system: tetragonal
Offset from the most stable computed form in meV per atom: 224
Fermi-level density of states in states/eV/f.u.: 2.79
Space group: P4/mbm, No. 127

---

## Sr2Ga6Ir (PBE)

Data for crystalline Sr2Ga6Ir at its relaxed geometry.

abc: 6.093 6.093 5.821
angles: 90.00 90.00 120.00
Sites, in units of the cell vectors:
1 Sr 0.333 0.667 0.336
2 Sr 0.667 0.333 0.664
3 Ga 0.169 0.338 0.826
4 Ga 0.169 0.831 0.826
5 Ga 0.338 0.169 0.174
6 Ga 0.662 0.831 0.826
7 Ga 0.831 0.169 0.174
8 Ga 0.831 0.662 0.174
9 Ir 0.000 0.000 0.500

Summary:
Crystal system: trigonal
Raw total energy in eV per atom: -3.82
Fermi-level density of states in states/eV/f.u.: 2.14
Space group: P-3m1, No. 164

---

## Sr3Ga4Ir2 (PBE)

Data for crystalline Sr3Ga4Ir2 at its relaxed geometry.

abc: 6.166 6.166 8.666
angles: 103.73 103.73 42.87
Sites, in units of the cell vectors:
1 Sr 0.000 0.000 0.000
2 Sr 0.389 0.389 0.309
3 Sr 0.611 0.611 0.691
4 Ga 0.120 0.120 0.409
5 Ga 0.276 0.276 0.921
6 Ga 0.724 0.724 0.079
7 Ga 0.880 0.880 0.591
8 Ir 0.307 0.307 0.647
9 Ir 0.693 0.693 0.353

Summary:
Crystal system: monoclinic
Raw total energy in eV per atom: -4.36
Fermi-level density of states in states/eV/f.u.: 6.26
Space group: C2/m, No. 12